No. 1
A plane-wave DFT calculation with PBE was carried out for a relaxed YScSe3 crystal.

Computed properties:
**Raw formation energy**: -1551.4 meV/atom
**SG**: No. 38
**Size of the total moment**: 0.0 μB per cell
**D(E_F)**: 0.00 states/eV/f.u.

```
data_YScSe3
_chemical_formula_sum 'Y1 Sc1 Se3'
_symmetry_space_group_name_H-M 'P 1'
_symmetry_Int_Tables_number 1
_symmetry_space_group_name_Hall 'P 1'
_cell_length_a 4.170
_cell_length_b 7.353
_cell_length_c 7.353
_cell_angle_alpha 116.09
_cell_angle_beta 90.00
_cell_angle_gamma 90.00
loop_
_atom_site_label
_atom_site_fract_x
_atom_site_fract_y
_atom_site_fract_z
Y1 0.000 0.426 0.574
Sc1 0.500 0.081 0.919
Se1 0.500 0.220 0.302
Se2 0.500 0.698 0.780
Se3 0.000 0.203 0.797
```

No. 2
A plane-wave DFT calculation with PBE was carried out for a relaxed Ce2PmGa2Cu2 crystal.

Computed properties:
**SG**: No. 166
**Size of the total moment**: 0.0 μB per cell
**D(E_F)**: 8.37 states/eV/f.u.
**ΔE_f**: -0.4122 eV/atom

```
data_Ce2PmGa2Cu2
_chemical_formula_sum 'Ce2 Pm1 Ga2 Cu2'
_symmetry_space_group_name_H-M 'P 1'
_symmetry_Int_Tables_number 1
_symmetry_space_group_name_Hall 'P 1'
_cell_length_a 4.314
_cell_length_b 4.314
_cell_length_c 9.360
_cell_angle_alpha 76.68
_cell_angle_beta 76.68
_cell_angle_gamma 60.00
loop_
_atom_site_label
_atom_site_fract_x
_atom_site_fract_y
_atom_site_fract_z
Ce1 0.140 0.140 0.579
Ce2 0.860 0.860 0.421
Pm1 0.000 0.000 0.000
Ga1 0.739 0.739 0.782
Ga2 0.261 0.261 0.218
Cu1 0.592 0.592 0.224
Cu2 0.408 0.408 0.776
```